First-principles (PBE with a Hubbard U) data for a relaxed VZn2P2O9 crystal, as listed in Alexandria.

Results
E = -6.6577 eV/atom

```
data_VZn2P2O9
_chemical_formula_sum 'V4 Zn8 P8 O36'
_cell_length_a 9.0483
_cell_length_b 9.0483
_cell_length_c 9.2063
_cell_angle_alpha 90.00
_cell_angle_beta 90.00
_cell_angle_gamma 90.00
_space_group_name_H-M_alt 'I 4 c m'
_space_group_IT_number 108
_space_group_name_Hall 'I 4 -2c'
loop_
_atom_site_label
_atom_site_type_symbol
_atom_site_fract_x
_atom_site_fract_y
_atom_site_fract_z
V1 V 0.0000 0.0000 0.0000
Zn1 Zn 0.1191 0.3809 0.3388
P1 P 0.1927 0.3073 0.9839
O1 O 0.0000 0.0000 0.1763
O2 O 0.1039 0.3961 0.8682
O3 O 0.1377 0.1718 0.4500
O4 O 0.1499 0.3501 0.1356
```